1.
A plane-wave DFT calculation with GGA-PBEsol was carried out for a relaxed Li3TiCr3O8 crystal.

Geometry as extended XYZ:
```
15
Lattice="5.0256 -2.8923 0.0000 5.0256 2.8923 0.0000 -3.2769 0.0000 4.7994" Properties=species:S:1:pos:R:3 pbc="T T T"
Li 0.0000 0.0000 0.0000
Li 2.5128 1.4462 0.0000
Li 2.5128 -1.4462 0.0000
Ti 3.3871 0.0000 2.3997
Cr -1.6384 0.0000 2.3997
Cr 0.8744 1.4462 2.3997
Cr 0.8744 -1.4462 2.3997
O 0.0158 0.0000 3.4214
O 2.5664 1.4535 3.4545
O 1.7138 0.0000 1.3051
O 4.2079 1.4535 1.3449
O 2.5664 -1.4535 3.4545
O 5.0604 0.0000 3.4943
O 4.2079 -1.4535 1.3449
O 6.7585 0.0000 1.3780
```

Computed properties:
The magnetic moment is 0.6005 μB per atom. The value obtained for the calculated density is 4197 kg/m³. As for the uncorrected formation energy: -2223 meV per atom. The calculation puts the energy above the most stable polymorph in this dataset at 0 meV/atom.

2.
A plane-wave DFT calculation with GGA-PBEsol was carried out for a relaxed RbBa2TiI crystal.

Geometry as extended XYZ:
```
5
Lattice="6.9218 0.0000 0.0000 0.0000 6.9218 0.0000 0.0000 0.0000 5.2531" Properties=species:S:1:pos:R:3 pbc="T T T"
Rb 0.0000 0.0000 0.0000
Ba 0.0000 3.4609 0.0000
Ba 3.4609 0.0000 0.0000
Ti 0.0000 0.0000 2.6266
I 3.4609 3.4609 2.6266
```

Computed properties:
The magnetic moment is 1.1718 μB per atom. The value obtained for the calculated density is 3529 kg/m³. As for the uncorrected formation energy: 874 meV per atom.

3.
A plane-wave DFT calculation with GGA-PBEsol was carried out for a relaxed CsHg3Pt crystal.

Geometry as extended XYZ:
```
5
Lattice="5.3193 0.0000 0.0000 0.0000 5.3193 0.0000 0.0000 0.0000 5.3193" Properties=species:S:1:pos:R:3 pbc="T T T"
Cs 0.0000 0.0000 0.0000
Hg 0.0000 2.6597 2.6597
Hg 2.6597 0.0000 2.6597
Hg 2.6597 2.6597 0.0000
Pt 2.6597 2.6597 2.6597
```

Computed properties:
Its formation energy is -269.4 meV/atom. The magnetic moment is 0.0000 μB per atom. The value obtained for the calculated density is 10258 kg/m³. The calculation puts the energy above the most stable polymorph in this dataset at 0 meV/atom.

4.
A plane-wave DFT calculation with GGA-PBEsol was carried out for a relaxed TaGa2FeOs crystal.

Geometry as extended XYZ:
```
5
Lattice="4.7714 0.0000 0.0000 0.0000 4.7714 0.0000 0.0000 0.0000 4.2500" Properties=species:S:1:pos:R:3 pbc="T T T"
Ta 0.0000 0.0000 0.0000
Ga 0.0000 2.3857 0.0000
Ga 2.3857 0.0000 0.0000
Fe 0.0000 0.0000 2.1250
Os 2.3857 2.3857 2.1250
```

Computed properties:
Its formation energy is 1899.8 meV/atom. The magnetic moment is 0.4752 μB per atom. The value obtained for the calculated density is 9722 kg/m³.

5.
A plane-wave DFT calculation with GGA-PBEsol was carried out for a relaxed YSiTe2 crystal.

Geometry as extended XYZ:
```
4
Lattice="2.0418 1.1788 9.1856 -2.0418 1.1788 9.1856 0.0000 -2.3576 9.1856" Properties=species:S:1:pos:R:3 pbc="T T T"
Y 0.0000 0.0000 0.0000
Si 0.0000 0.0000 13.7784
Te 0.0000 0.0000 11.0443
Te 0.0000 0.0000 16.5125
```

Computed properties:
The magnetic moment is 0.0000 μB per atom. The value obtained for the calculated density is 4659 kg/m³. As for the uncorrected formation energy: -261 meV per atom.

6.
A plane-wave DFT calculation with GGA-PBEsol was carried out for a relaxed BeCrMo crystal.

Geometry as extended XYZ:
```
3
Lattice="2.6062 0.0000 0.0000 -1.3031 2.2571 0.0000 0.0000 0.0000 6.2688" Properties=species:S:1:pos:R:3 pbc="T T T"
Be 0.0000 0.0000 0.0000
Cr 0.0000 1.5047 4.3749
Mo 1.3031 0.7524 2.1141
```

Computed properties:
Its formation energy is 446.0 meV/atom. The magnetic moment is 0.0009 μB per atom. The value obtained for the calculated density is 7068 kg/m³.

7.
A plane-wave DFT calculation with GGA-PBEsol was carried out for a relaxed BaLaAs2 crystal.

Geometry as extended XYZ:
```
8
Lattice="-4.0947 4.0947 3.7655 4.0947 -4.0947 3.7655 4.0947 4.0947 -3.7655" Properties=species:S:1:pos:R:3 pbc="T T T"
Ba 0.0000 0.0000 0.0000
Ba 0.0000 4.0947 1.8827
La 4.0947 0.0000 1.8827
La 0.0000 0.0000 3.7655
As 2.0473 -1.8696 2.8241
As 2.2251 2.0473 0.9414
As 2.0473 5.9643 -0.9414
As 1.8696 2.0473 4.7068
```

Computed properties:
Its formation energy is -914.6 meV/atom. The magnetic moment is 0.0000 μB per atom. The value obtained for the calculated density is 5603 kg/m³. The calculation puts the energy above the most stable polymorph in this dataset at 148 meV/atom.

8.
A plane-wave DFT calculation with GGA-PBEsol was carried out for a relaxed Nb3TlCr crystal.

Geometry as extended XYZ:
```
5
Lattice="4.6020 0.0000 0.0000 0.0000 4.6020 0.0000 0.0000 0.0000 4.6020" Properties=species:S:1:pos:R:3 pbc="T T T"
Nb 0.0000 0.0000 2.3010
Nb 0.0000 2.3010 0.0000
Nb 2.3010 0.0000 0.0000
Tl 2.3010 2.3010 2.3010
Cr 0.0000 0.0000 0.0000
```

Computed properties:
Its formation energy is 792.9 meV/atom. The magnetic moment is 0.0001 μB per atom. The value obtained for the calculated density is 9117 kg/m³.

| no. | density of states at the Fermi level (states/eV/f.u.) |
| --- | --- |
| 1 | 0.589 |
| 2 | 5.996 |
| 3 | 1.235 |
| 4 | 4.483 |
| 5 | 1.773 |
| 6 | 2.766 |
| 7 | 1.504 |
| 8 | 4.431 |